Entry 1:
Li2Zn2Sb | PBE-GGA | optimized geometry

Calculated values
Uncorrected energy in eV per atom: -2.19
DOS(E_F) in states/eV per atom: 0.221
Energy above the most stable polymorph in this dataset in kJ/mol of formula units: 39
SG: P4/mbm
Calculated density in g/cm3: 4.9

a b c (Å): 7.412 7.412 3.296
angles (deg): 90.00 90.00 90.00
Element x y z (fractional)
Sb 0.500 0.500 0.000
Sb 0.000 0.000 0.000
Li 0.652 0.152 0.000
Li 0.348 0.848 0.000
Li 0.848 0.652 0.000
Li 0.152 0.348 0.000
Zn 0.139 0.639 0.500
Zn 0.361 0.139 0.500
Zn 0.861 0.361 0.500
Zn 0.639 0.861 0.500



Entry 2:
Li3ZnSb2 | PBE-GGA | optimized geometry

Calculated values
Uncorrected energy in eV per atom: -2.84
DOS(E_F) in states/eV per atom: 0.486
SG: Ibam
Calculated density in g/cm3: 3.8

a b c (Å): 6.896 6.477 8.045
angles (deg): 113.74 115.38 90.00
Element x y z (fractional)
Sb 0.403 0.633 0.265
Sb 0.863 0.133 0.265
Sb 0.137 0.867 0.735
Sb 0.597 0.367 0.735
Li 0.500 0.750 0.000
Li 0.239 0.489 0.478
Li 0.500 0.250 0.000
Li 0.761 0.511 0.522
Li 0.761 0.011 0.522
Li 0.239 0.989 0.478
Zn 0.000 0.000 0.000
Zn 0.000 0.500 0.000